1.
Crystalline Ho3Ga3Co2 at its relaxed geometry. Source: Alexandria via LeMat-Bulk, functional PBE-GGA.

a b c (Å): 5.679 7.382 14.714
angles (deg): 90.00 90.00 90.00
Fractional positions:
Ho 0.120 0.466 0.393
Ho 0.620 0.034 0.607
Ho 0.880 0.534 0.893
Ho 0.380 0.966 0.107
Ho 0.880 0.534 0.607
Ho 0.380 0.966 0.393
Ho 0.120 0.466 0.107
Ho 0.620 0.034 0.893
Ho 0.638 0.335 0.250
Ho 0.138 0.165 0.750
Ho 0.362 0.665 0.750
Ho 0.862 0.835 0.250
Ga 0.122 0.177 0.250
Ga 0.622 0.323 0.750
Ga 0.878 0.823 0.750
Ga 0.378 0.677 0.250
Ga 0.605 0.330 0.461
Ga 0.105 0.170 0.539
Ga 0.395 0.670 0.961
Ga 0.895 0.830 0.039
Ga 0.395 0.670 0.539
Ga 0.895 0.830 0.461
Ga 0.605 0.330 0.039
Ga 0.105 0.170 0.961
Co 0.884 0.129 0.394
Co 0.384 0.371 0.606
Co 0.116 0.871 0.894
Co 0.616 0.629 0.106
Co 0.116 0.871 0.606
Co 0.616 0.629 0.394
Co 0.884 0.129 0.106
Co 0.384 0.371 0.894

DOS(E_F), states/eV/cell: 28.18
Energy relative to the elements, meV/atom: -510

2.
Crystalline LuUGa2 at its relaxed geometry. Source: Alexandria via LeMat-Bulk, functional PBE-GGA.

a b c (Å): 2.954 5.374 5.374
angles (deg): 90.00 90.00 90.00
Fractional positions:
Lu 0.500 0.000 0.000
U 0.500 0.500 0.500
Ga 0.000 0.000 0.500
Ga 0.000 0.500 0.000

DOS(E_F), states/eV/cell: 6.55
Relative energy among the computed polymorphs, meV per atom: 44
Energy relative to the elements, meV/atom: -210

Number 1: raw total energy -164.41 eV/cell. Number 2: raw total energy -22.70 eV/cell.